(1)
# LaSiTe2 | the Alexandria database | PBE | optimized geometry
# E_form (uncorrected) = -0.578 eV per atom
# crystal system = tetragonal
# total DFT energy (no corrections) = -4.737 eV per atom
data_LaSiTe2
_cell_length_a 4.283
_cell_length_b 4.283
_cell_length_c 6.631
_cell_angle_alpha 90.00
_cell_angle_beta 90.00
_cell_angle_gamma 90.00
_symmetry_space_group_name_H-M 'P 4 m m'
_symmetry_Int_Tables_number 99
loop_
_symmetry_equiv_pos_as_xyz
'x,y,z'
'-y,x,z'
'-x,-y,z'
'y,-x,z'
'-x,y,z'
'y,x,z'
'x,-y,z'
'-y,-x,z'
loop_
_atom_site_label
_atom_site_type_symbol
_atom_site_fract_x
_atom_site_fract_y
_atom_site_fract_z
La1 La 0.000 0.000 0.000
Si1 Si 0.500 0.500 0.414
Te1 Te 0.000 0.000 0.473
Te2 Te 0.500 0.500 0.854

(2)
# ZrMnSi2 | the Alexandria database | PBE | optimized geometry
# E_form (uncorrected) = -0.690 eV per atom
# crystal system = orthorhombic
# total DFT energy (no corrections) = -7.831 eV per atom
data_ZrMnSi2
_cell_length_a 5.157
_cell_length_b 7.884
_cell_length_c 17.294
_cell_angle_alpha 90.00
_cell_angle_beta 90.00
_cell_angle_gamma 90.00
_symmetry_space_group_name_H-M 'I m m m'
_symmetry_Int_Tables_number 71
_symmetry_space_group_name_Hall '-I 2 2'
loop_
_atom_site_label
_atom_site_type_symbol
_atom_site_fract_x
_atom_site_fract_y
_atom_site_fract_z
Zr1 Zr 0.000 0.000 0.141
Zr2 Zr 0.000 0.259 0.405
Mn1 Mn 0.000 0.252 0.000
Mn2 Mn 0.250 0.250 0.250
Si1 Si 0.000 0.000 0.298
Si2 Si 0.000 0.351 0.137
Si3 Si 0.000 0.500 0.288
Si4 Si 0.245 0.000 0.500
Si5 Si 0.246 0.500 0.500

(3)
# RbPm4F12 | the Alexandria database | PBE | optimized geometry
# E_form (uncorrected) = -3.768 eV per atom
# crystal system = orthorhombic
# total DFT energy (no corrections) = -6.263 eV per atom
data_RbPm4F12
_cell_length_a 9.143
_cell_length_b 9.144
_cell_length_c 9.145
_cell_angle_alpha 90.00
_cell_angle_beta 90.00
_cell_angle_gamma 90.00
_symmetry_space_group_name_H-M 'I m m m'
_symmetry_Int_Tables_number 71
_symmetry_space_group_name_Hall '-I 2 2'
loop_
_atom_site_label
_atom_site_type_symbol
_atom_site_fract_x
_atom_site_fract_y
_atom_site_fract_z
Rb1 Rb 0.000 0.000 0.000
Pm1 Pm 0.250 0.250 0.250
F1 F 0.000 0.232 0.231
F2 F 0.231 0.000 0.245
F3 F 0.231 0.243 0.000

(4)
# NbV3Tc4 | the Alexandria database | PBE | optimized geometry
# E_form = -0.33 eV per atom
# crystal system = tetragonal
# total DFT energy (no corrections) = -10.195 eV per atom
data_NbV3Tc4
_cell_length_a 3.071
_cell_length_b 3.071
_cell_length_c 12.303
_cell_angle_alpha 90.00
_cell_angle_beta 90.00
_cell_angle_gamma 90.00
_symmetry_space_group_name_H-M 'P 4/m m m'
_symmetry_Int_Tables_number 123
_symmetry_space_group_name_Hall '-P 4 2'
loop_
_atom_site_label
_atom_site_type_symbol
_atom_site_fract_x
_atom_site_fract_y
_atom_site_fract_z
Nb1 Nb 0.000 0.000 0.000
V1 V 0.000 0.000 0.256
V2 V 0.000 0.000 0.500
Tc1 Tc 0.500 0.500 0.135
Tc2 Tc 0.500 0.500 0.378

(5)
# PuSc4Ni5 | the Alexandria database | PBE | optimized geometry
# E_form = -0.41 eV per atom
# crystal system = tetragonal
# total DFT energy (no corrections) = -7.268 eV per atom
data_PuSc4Ni5
_cell_length_a 3.155
_cell_length_b 3.155
_cell_length_c 16.492
_cell_angle_alpha 90.00
_cell_angle_beta 90.00
_cell_angle_gamma 90.00
_symmetry_space_group_name_H-M 'P 4/m m m'
_symmetry_Int_Tables_number 123
_symmetry_space_group_name_Hall '-P 4 2'
loop_
_atom_site_label
_atom_site_type_symbol
_atom_site_fract_x
_atom_site_fract_y
_atom_site_fract_z
Pu1 Pu 0.000 0.000 0.000
Sc1 Sc 0.000 0.000 0.208
Sc2 Sc 0.000 0.000 0.403
Ni1 Ni 0.500 0.500 0.119
Ni2 Ni 0.500 0.500 0.307
Ni3 Ni 0.500 0.500 0.500

(6)
# DyPuAlGe | the Alexandria database | PBE | optimized geometry
# E_form = -0.34 eV per atom
# crystal system = cubic
# total DFT energy (no corrections) = -7.167 eV per atom
data_DyPuAlGe
_cell_length_a 7.150
_cell_length_b 7.150
_cell_length_c 7.150
_cell_angle_alpha 90.00
_cell_angle_beta 90.00
_cell_angle_gamma 90.00
_symmetry_space_group_name_H-M 'F -4 3 m'
_symmetry_Int_Tables_number 216
_symmetry_space_group_name_Hall 'F -4 2 3'
loop_
_atom_site_label
_atom_site_type_symbol
_atom_site_fract_x
_atom_site_fract_y
_atom_site_fract_z
Dy1 Dy 0.000 0.000 0.000
Pu1 Pu 0.000 0.000 0.500
Al1 Al 0.250 0.250 0.750
Ge1 Ge 0.250 0.250 0.250

(7)
# Sc2CdReO8 | the Alexandria database | PBE | optimized geometry
# E_form (uncorrected) = -2.112 eV per atom
# crystal system = orthorhombic
# total DFT energy (no corrections) = -7.586 eV per atom
data_Sc2CdReO8
_cell_length_a 6.700
_cell_length_b 6.879
_cell_length_c 6.635
_cell_angle_alpha 90.00
_cell_angle_beta 90.00
_cell_angle_gamma 90.00
_symmetry_space_group_name_H-M 'C m m m'
_symmetry_Int_Tables_number 65
_symmetry_space_group_name_Hall '-C 2 2'
loop_
_atom_site_label
_atom_site_type_symbol
_atom_site_fract_x
_atom_site_fract_y
_atom_site_fract_z
Sc1 Sc 0.000 0.000 0.245
Cd1 Cd 0.000 0.500 0.000
Re1 Re 0.000 0.500 0.500
O1 O 0.000 0.307 0.299
O2 O 0.185 0.000 0.000
O3 O 0.213 0.000 0.500

(8)
# ZrSiSe2N | the Alexandria database | PBE | optimized geometry
# E_form (uncorrected) = 0.175 eV per atom
# crystal system = tetragonal
# total DFT energy (no corrections) = -5.678 eV per atom
# distance to the lowest polymorph of the same formula = 0.3463 eV per atom
data_ZrSiSe2N
_cell_length_a 5.338
_cell_length_b 5.338
_cell_length_c 4.033
_cell_angle_alpha 90.00
_cell_angle_beta 90.00
_cell_angle_gamma 90.00
_symmetry_space_group_name_H-M 'P 4/m m m'
_symmetry_Int_Tables_number 123
_symmetry_space_group_name_Hall '-P 4 2'
loop_
_atom_site_label
_atom_site_type_symbol
_atom_site_fract_x
_atom_site_fract_y
_atom_site_fract_z
Zr1 Zr 0.000 0.000 0.000
Si1 Si 0.500 0.500 0.500
Se1 Se 0.000 0.500 0.000
N1 N 0.000 0.000 0.500